A plane-wave DFT calculation with PBE was carried out for a relaxed structure of KMgCl4. Values from VASP.

Summary:
* magnetization: 1.9 Bohr magnetons per cell
* ρ: 2.1 Mg/m³
* ΔE_f (raw): -0.3457 eV/atom

The structure in Quantum ESPRESSO input format:
```
&SYSTEM
  ibrav = 0, nat = 6, ntyp = 3
/
ATOMIC_SPECIES
K 39.10 K.upf
Mg 24.30 Mg.upf
Cl 35.45 Cl.upf
CELL_PARAMETERS angstrom
0.0000 4.3341 4.3341
4.3341 0.0000 4.3341
4.3341 4.3341 0.0000
ATOMIC_POSITIONS crystal
K 0.0000 0.0000 0.0000
Mg 0.7500 0.7500 0.7500
Cl 0.3758 0.3758 0.3758
Cl 0.3758 0.3758 0.8727
Cl 0.3758 0.8727 0.3758
Cl 0.8727 0.3758 0.3758
```

A plane-wave DFT calculation with PBE was carried out for a relaxed structure of ZnGaW. Values from VASP.

Summary:
* DFT formation energy: 0.25 eV/atom
* E above lowest polymorph: 0.00 kcal/mol of atoms
* magnetization: 0.0 Bohr magnetons per cell
* ρ: 11.8 Mg/m³

The structure in Quantum ESPRESSO input format:
```
&SYSTEM
  ibrav = 0, nat = 3, ntyp = 3
/
ATOMIC_SPECIES
Zn 65.41 Zn.upf
Ga 69.72 Ga.upf
W 183.84 W.upf
CELL_PARAMETERS angstrom
4.3843 0.0000 0.0000
-2.1922 3.7970 0.0000
0.0000 0.0000 2.7002
ATOMIC_POSITIONS crystal
Zn 0.0000 0.0000 0.0000
Ga 0.3333 0.6667 0.0000
W 0.6667 0.3333 0.5000
```

A plane-wave DFT calculation with PBE was carried out for a relaxed structure of Na3Ce2NpS6. Values from VASP.

Summary:
* magnetization: 6.0 Bohr magnetons per cell
* ρ: 4.5 Mg/m³
* ΔE_f (raw): -1.6081 eV/atom

The structure in Quantum ESPRESSO input format:
```
&SYSTEM
  ibrav = 0, nat = 12, ntyp = 4
/
ATOMIC_SPECIES
Na 22.99 Na.upf
Ce 140.12 Ce.upf
Np 237.00 Np.upf
S 32.06 S.upf
CELL_PARAMETERS angstrom
3.5416 -6.1351 0.0000
3.5416 6.1351 0.0000
-2.3609 0.0000 6.6665
ATOMIC_POSITIONS crystal
Na 0.0000 0.0000 0.0000
Na 0.3333 0.6667 0.0000
Na 0.6667 0.3333 0.0000
Ce 0.1666 0.8334 0.5000
Ce 0.8334 0.1666 0.5000
Np 0.5000 0.5000 0.5000
S 0.0946 0.4229 0.2688
S 0.2485 0.2485 0.7303
S 0.4229 0.0946 0.2688
S 0.5771 0.9054 0.7312
S 0.7515 0.7515 0.2697
S 0.9054 0.5771 0.7312
```

A plane-wave DFT calculation with PBE was carried out for a relaxed structure of Ac4La3PrTe8. Values from VASP.

Summary:
* magnetization: 0.0 Bohr magnetons per cell
* ρ: 7.2 Mg/m³
* ΔE_f (raw): -1.5216 eV/atom

The structure in Quantum ESPRESSO input format:
```
&SYSTEM
  ibrav = 0, nat = 16, ntyp = 4
/
ATOMIC_SPECIES
Ac 227.00 Ac.upf
La 138.91 La.upf
Pr 140.91 Pr.upf
Te 127.60 Te.upf
CELL_PARAMETERS angstrom
4.6455 2.6821 7.6216
-4.6455 2.6821 7.6216
0.0000 -5.3641 7.6216
ATOMIC_POSITIONS crystal
Ac 0.0000 0.0000 0.0000
Ac 0.0000 0.5000 0.5000
Ac 0.5000 0.0000 0.5000
Ac 0.5000 0.5000 0.0000
La 0.0000 0.0000 0.5000
La 0.0000 0.5000 0.0000
La 0.5000 0.0000 0.0000
Pr 0.5000 0.5000 0.5000
Te 0.2468 0.2468 0.2468
Te 0.2475 0.7461 0.7461
Te 0.2539 0.2539 0.7525
Te 0.2539 0.7525 0.2539
Te 0.7461 0.2475 0.7461
Te 0.7461 0.7461 0.2474
Te 0.7526 0.2539 0.2539
Te 0.7532 0.7532 0.7532
```